1.
DFT (PBE-GGA) results for crystalline Dy3Np3ScSe8 at its relaxed geometry.

The structure belongs to space group R-3m (No. 166, hexagonal axes); the cell edges are 8.1339, 8.1339 and 19.9721 Å and the angles 90.00°, 90.00° and 120.00°. Symmetry generates all atoms from Dy at (0.0000, 0.5000, 0.0000), Np at (0.0000, 0.5000, 0.5000), Sc at (0.0000, 0.0000, 0.0000), Se at (0.0000, 0.0000, 0.2510) and Se at (0.0060, 0.5030, 0.7472).

Its volume is 1144.28 Å³ per cell. For the formation energy without anion corrections, the calculation gives -1.528 eV per atom.

2.
DFT (PBE-GGA) results for crystalline Dy3Np2Se6 at its relaxed geometry.

The structure belongs to space group R-3m (No. 166, hexagonal axes); the cell edges are 4.1098, 4.1098 and 59.8105 Å and the angles 90.00°, 90.00° and 120.00°. Symmetry generates all atoms from Dy at (0.0000, 0.0000, 0.0000), Dy at (0.0000, 0.0000, 0.2779), Np at (0.0000, 0.0000, 0.4450), Se at (0.0000, 0.0000, 0.0826), Se at (0.0000, 0.0000, 0.1967) and Se at (0.0000, 0.0000, 0.3608).

Its volume is 874.89 Å³ per cell. For the formation energy without anion corrections, the calculation gives -1.462 eV per atom.

3.
DFT (PBE-GGA) results for crystalline DyNpSe3 at its relaxed geometry.

The structure belongs to space group P6_3mc (No. 186); the cell edges are 4.1446, 4.1446 and 20.2571 Å and the angles 90.00°, 90.00° and 120.00°. Symmetry generates all atoms from Dy at (0.3333, 0.6667, 0.0000), Np at (0.0000, 0.0000, 0.1806), Se at (0.0000, 0.0000, 0.4317), Se at (0.3333, 0.6667, 0.2524) and Se at (0.3333, 0.6667, 0.5919).

Its volume is 301.35 Å³ per cell. For the formation energy without anion corrections, the calculation gives -1.437 eV per atom.

4.
DFT (PBE-GGA) results for crystalline DyNpSe2 at its relaxed geometry.

The structure belongs to space group R3m (No. 160, hexagonal axes); the cell edges are 3.9327, 3.9327 and 21.9455 Å and the angles 90.00°, 90.00° and 120.00°. Symmetry generates all atoms from Dy at (0.0000, 0.0000, 0.0000), Np at (0.0000, 0.0000, 0.8265), Se at (0.0000, 0.0000, 0.4105) and Se at (0.0000, 0.0000, 0.5835).

Its volume is 293.93 Å³ per cell. For the formation energy without anion corrections, the calculation gives -1.352 eV per atom.

5.
DFT (PBE-GGA) results for crystalline Dy6NpSe12 at its relaxed geometry.

The structure belongs to space group R-3 (No. 148, hexagonal axes); the cell edges are 12.4648, 12.4648 and 11.7979 Å and the angles 90.00°, 90.00° and 120.00°. Symmetry generates all atoms from Dy at (0.0436, 0.7750, 0.1312), Np at (0.0000, 0.0000, 0.5000), Se at (0.0289, 0.8140, 0.8913) and Se at (0.0489, 0.8493, 0.3748).

Its volume is 1587.47 Å³ per cell. For the formation energy without anion corrections, the calculation gives -1.590 eV per atom.

6.
DFT (PBE-GGA) results for crystalline DyNpSe3 at its relaxed geometry.

The structure belongs to space group Pnma (No. 62); the cell edges are 7.685, 4.093 and 15.762 Å and the angles 90.00°, 90.00° and 90.00°. Symmetry generates all atoms from Dy at (0.235, 0.250, 0.042), Np at (0.137, 0.750, 0.293), Se at (0.007, 0.750, 0.108), Se at (0.123, 0.250, 0.433) and Se at (0.148, 0.750, 0.720).

Its volume is 495.75 Å³ per cell. For the formation energy without anion corrections, the calculation gives -1.518 eV per atom.

The lowest formation energy without anion corrections belongs to which entry?
Dy6NpSe12

What is the formula in the fourth record?
DyNpSe2

volume of number 1 (Dy3Np3ScSe8)?
1144.28 Å³ per cell